Entry w
{
  "formula": "Th3PdC",
  "functional": "PBE-GGA",
  "state": "relaxed",
  "crystal_system": "monoclinic",
  "spacegroup": "P2_1/m, No. 11",
  "lattice": [[7.425, 0.000, 0.000], [0.000, 3.796, 0.000], [-1.923, 0.000, 8.750]],
  "species": ["Th", "Th", "Th", "Th", "Th", "Th", "Pd", "Pd", "C", "C"],
  "fractional_positions": [[0.083, 0.250, 0.355], [0.246, 0.250, 0.933], [0.393, 0.750, 0.643], [0.607, 0.250, 0.357], [0.754, 0.750, 0.067], [0.917, 0.750, 0.645], [0.310, 0.750, 0.190], [0.690, 0.250, 0.810], [0.157, 0.250, 0.648], [0.843, 0.750, 0.352]]
}

***

Entry x
{
  "formula": "Th3PdC",
  "functional": "PBE-GGA",
  "state": "relaxed",
  "crystal_system": "monoclinic",
  "spacegroup": "P2_1/m, No. 11",
  "lattice": [[3.759, 0.000, 0.000], [0.000, 10.095, 0.000], [-1.872, 0.000, 6.321]],
  "species": ["Th", "Th", "Th", "Th", "Th", "Th", "Pd", "Pd", "C", "C"],
  "fractional_positions": [[0.062, 0.250, 0.125], [0.369, 0.058, 0.738], [0.369, 0.442, 0.738], [0.631, 0.558, 0.262], [0.631, 0.942, 0.262], [0.938, 0.750, 0.875], [0.245, 0.750, 0.491], [0.755, 0.250, 0.509], [0.000, 0.000, 0.000], [0.000, 0.500, 0.000]]
}

***

Relative stability in meV/atom, measured from the most stable structure: entry w 26; entry x 0

***

Entry w
{
  "formula": "TiPd3C",
  "functional": "PBE-GGA",
  "state": "relaxed",
  "crystal_system": "cubic",
  "spacegroup": "Pm-3m, No. 221",
  "lattice": [[4.169, 0.000, 0.000], [0.000, 4.169, 0.000], [0.000, 0.000, 4.169]],
  "species": ["Ti", "Pd", "Pd", "Pd", "C"],
  "fractional_positions": [[0.000, 0.000, 0.000], [0.000, 0.500, 0.500], [0.500, 0.000, 0.500], [0.500, 0.500, 0.000], [0.500, 0.500, 0.500]]
}

***

Entry x
{
  "formula": "TiPd3C",
  "functional": "PBE-GGA",
  "state": "relaxed",
  "crystal_system": "cubic",
  "spacegroup": "Pm-3m, No. 221",
  "lattice": [[4.618, 0.000, 0.000], [0.000, 4.618, 0.000], [0.000, 0.000, 4.618]],
  "species": ["Ti", "Pd", "Pd", "Pd", "C"],
  "fractional_positions": [[0.000, 0.000, 0.000], [0.000, 0.000, 0.500], [0.000, 0.500, 0.000], [0.500, 0.000, 0.000], [0.500, 0.500, 0.500]]
}

***

Relative stability in meV/atom, measured from the most stable structure: entry w 0; entry x 1603

***

Entry w
{
  "formula": "TiPdC3",
  "functional": "PBE-GGA",
  "state": "relaxed",
  "crystal_system": "cubic",
  "spacegroup": "Pm-3m, No. 221",
  "lattice": [[4.015, 0.000, 0.000], [0.000, 4.015, 0.000], [0.000, 0.000, 4.015]],
  "species": ["Ti", "Pd", "C", "C", "C"],
  "fractional_positions": [[0.000, 0.000, 0.000], [0.500, 0.500, 0.500], [0.000, 0.000, 0.500], [0.000, 0.500, 0.000], [0.500, 0.000, 0.000]]
}

***

Entry x
{
  "formula": "TiPdC3",
  "functional": "PBE-GGA",
  "state": "relaxed",
  "crystal_system": "cubic",
  "spacegroup": "Pm-3m, No. 221",
  "lattice": [[3.972, 0.000, 0.000], [0.000, 3.972, 0.000], [0.000, 0.000, 3.972]],
  "species": ["Ti", "Pd", "C", "C", "C"],
  "fractional_positions": [[0.000, 0.000, 0.000], [0.500, 0.500, 0.500], [0.000, 0.500, 0.500], [0.500, 0.000, 0.500], [0.500, 0.500, 0.000]]
}

***

Relative stability in meV/atom, measured from the most stable structure: entry w 0; entry x 289